Record 1
A plane-wave DFT calculation with PBE was carried out for a geometry-optimized TaMnMo structure.

Cell lengths 4.1555, 4.1555, 4.1555 Å; angles 60.00, 60.00, 60.00 degrees
Last column: nearest neighbours and their distance in Å.
Fractional positions:
Mn 0.7500 0.7500 0.7500  4 Mo 2.54, 4 Ta 2.54
Ta 0.5000 0.5000 0.5000  4 Mn 2.54
Mo 0.0000 0.0000 0.0000  4 Mn 2.54

Calculated values
For the density, the calculation gives 10.86 g/cm³. As for the crystal system: cubic. The uncorrected energy is -30.55 eV/cell. Its energy above the most stable polymorph in this dataset is 460.1 meV per atom. The value obtained for the calculated formation energy is 436 meV per atom.


Record 2
A plane-wave DFT calculation with PBE was carried out for a geometry-optimized CsCa2La structure.

Cell lengths 9.9258, 9.9258, 7.9527 Å; angles 51.39, 51.39, 90.00 degrees
Last column: nearest neighbours and their distance in Å.
Fractional positions:
La 0.0000 0.0000 0.0000  4 Ca 3.65, 2 Cs 3.74
Cs 0.2500 0.7500 0.5000  4 Ca 3.61, 2 La 3.74
La 0.7500 0.2500 0.5000  4 Ca 3.65, 2 Cs 3.74
Ca 0.6223 0.1250 0.2500  2 Cs 3.61, 2 La 3.65, 2 Ca 3.74
Cs 0.5000 0.5000 0.0000  4 Ca 3.61, 2 La 3.74
Ca 0.1277 0.6250 0.2500  2 Cs 3.61, 2 La 3.65, 2 Ca 3.74
Ca 0.3750 0.3777 0.7500  2 Cs 3.61, 2 La 3.65, 2 Ca 3.74
Ca 0.8750 0.8723 0.7500  2 Cs 3.61, 2 La 3.65, 2 Ca 3.74

Calculated values
For the density, the calculation gives 3.17 g/cm³. As for the crystal system: tetragonal. The uncorrected energy is -15.01 eV/cell. The value obtained for the calculated formation energy is 570 meV per atom.


Record 3
A plane-wave DFT calculation with PBE was carried out for a geometry-optimized CaTm4Ge4 structure.

Cell lengths 5.7126, 9.3304, 9.3304 Å; angles 90.00, 90.00, 90.00 degrees
Last column: nearest neighbours and their distance in Å.
Fractional positions:
Tm 0.3857 0.3572 0.8850  5 Ge 2.86-3.00
Ge 0.6021 0.1973 0.6568  1 Ge 2.62, 4 Tm 2.86-2.92
Ge 0.8979 0.6973 0.1568  1 Ge 2.62, 4 Tm 2.86-2.92
Ca 0.0000 0.0000 0.0000  4 Ge 3.23
Ge 0.1021 0.8432 0.6973  1 Ge 2.62, 4 Tm 2.86-2.92
Ge 0.3979 0.6568 0.8027  1 Ge 2.62, 4 Tm 2.86-2.92
Tm 0.1143 0.8572 0.3850  5 Ge 2.86-3.00
Tm 0.6143 0.8850 0.6428  5 Ge 2.86-3.00
Tm 0.3857 0.6428 0.1150  5 Ge 2.86-3.00
Ge 0.6021 0.8027 0.3432  1 Ge 2.62, 4 Tm 2.86-2.92
Ca 0.5000 0.5000 0.5000  4 Ge 3.23
Tm 0.8857 0.3850 0.1428  5 Ge 2.86-3.00
Tm 0.8857 0.6150 0.8572  5 Ge 2.86-3.00
Tm 0.6143 0.1150 0.3572  5 Ge 2.86-3.00
Ge 0.3979 0.3432 0.1973  1 Ge 2.62, 4 Tm 2.86-2.92
Ge 0.8979 0.3027 0.8432  1 Ge 2.62, 4 Tm 2.86-2.92
Ge 0.1021 0.1568 0.3027  1 Ge 2.62, 4 Tm 2.86-2.92
Tm 0.1143 0.1428 0.6150  5 Ge 2.86-3.00

Calculated values
For the density, the calculation gives 6.72 g/cm³. As for the crystal system: tetragonal. The uncorrected energy is -87.50 eV/cell. The value obtained for the calculated formation energy is -599 meV per atom.


Record 4
A plane-wave DFT calculation with PBE was carried out for a geometry-optimized DySi2PdPt2 structure.

Cell lengths 4.1892, 4.1892, 6.7522 Å; angles 90.00, 90.00, 120.00 degrees
Last column: nearest neighbours and their distance in Å.
Fractional positions:
Si 0.3333 0.6667 0.3130  4 Pt 2.43-2.71
Pd 0.0000 0.0000 0.5000  6 Si 2.73, 6 Pt 2.82
Pt 0.6667 0.3333 0.2860  4 Si 2.43-2.71
Si 0.6667 0.3333 0.6870  4 Pt 2.43-2.71
Pt 0.3333 0.6667 0.7140  4 Si 2.43-2.71
Dy 0.0000 0.0000 0.0000  6 Pt 3.10, 6 Si 3.21, 2 Pd 3.38

Calculated values
For the density, the calculation gives 11.57 g/cm³. As for the crystal system: trigonal. The uncorrected energy is -38.59 eV/cell. The calculation puts the uncorrected formation energy at -978 meV/atom.


Record 5
A plane-wave DFT calculation with PBE was carried out for a geometry-optimized SrSmRhAu structure.

Cell lengths 5.1485, 5.1485, 5.1485 Å; angles 60.00, 60.00, 60.00 degrees
Last column: nearest neighbours and their distance in Å.
Fractional positions:
Sm 0.5000 0.5000 0.5000  4 Au 3.15, 4 Rh 3.15
Rh 0.7500 0.7500 0.7500  4 Sr 3.15, 4 Sm 3.15
Sr 0.0000 0.0000 0.0000  4 Rh 3.15, 4 Au 3.15
Au 0.2500 0.2500 0.2500  4 Sm 3.15, 4 Sr 3.15

Calculated values
For the density, the calculation gives 9.26 g/cm³. As for the crystal system: cubic. The uncorrected energy is -19.26 eV/cell. The value obtained for the calculated formation energy is -559 meV per atom.


Record 6
A plane-wave DFT calculation with PBE was carried out for a geometry-optimized HfGa5Rh6 structure.

Cell lengths 4.2183, 6.5290, 6.6811 Å; angles 90.00, 71.60, 90.00 degrees
Last column: nearest neighbours and their distance in Å.
Fractional positions:
Rh 0.1696 0.7454 0.6608  7 Ga 2.63-2.69, 1 Hf 2.72, 2 Rh 2.93
Rh 0.8304 0.7454 0.3392  7 Ga 2.63-2.69, 1 Hf 2.72, 2 Rh 2.93
Ga 0.0000 0.5000 0.0000  8 Rh 2.62-2.68
Rh 0.8304 0.2546 0.3392  7 Ga 2.63-2.69, 1 Hf 2.72, 2 Rh 2.93
Ga 0.3332 0.0000 0.3336  8 Rh 2.66-2.72
Ga 0.6655 0.5000 0.6691  8 Rh 2.61-2.65
Ga 0.6668 0.0000 0.6664  8 Rh 2.66-2.72
Rh 0.5000 0.7370 0.0000  6 Ga 2.61-2.72, 2 Hf 2.72
Hf 0.0000 0.0000 0.0000  8 Rh 2.72, 4 Ga 2.99
Rh 0.1696 0.2546 0.6608  7 Ga 2.63-2.69, 1 Hf 2.72, 2 Rh 2.93
Rh 0.5000 0.2630 0.0000  6 Ga 2.61-2.72, 2 Hf 2.72
Ga 0.3345 0.5000 0.3309  8 Rh 2.61-2.65

Calculated values
For the density, the calculation gives 10.89 g/cm³. As for the crystal system: orthorhombic. The uncorrected energy is -78.36 eV/cell. The value obtained for the calculated formation energy is -764 meV per atom.